1.
The following is a DFT calculation (PBE-GGA) of a geometry-optimized KBiO2 structure.

## Properties
The value obtained for the total DFT energy (no corrections) is -4.99 eV/atom. As for the symmetry: No. 160. The calculation puts the uncorrected formation energy at -1.271 eV/atom. The crystal system is trigonal.

Structure (POSCAR):
```
KBiO2
1.0
-3.063 -0.270 1.853
-1.979 -2.987 -0.229
1.581 -3.632 5.563
K Bi O
1 1 2
direct
0.496 0.496 0.511 K
0.667 0.667 0.998 Bi
0.069 0.069 0.794 O
0.268 0.268 0.197 O
```

2.
The following is a DFT calculation (PBE-GGA) of a geometry-optimized Pm2NdHo6 structure.

## Properties
As for the energy above the most stable polymorph in this dataset: 0.000 eV/f.u. The value obtained for the total DFT energy (no corrections) is -4.53 eV/atom. As for the symmetry: No. 12. The formation energy comes out at 0.11 eV per atom. The crystal system is monoclinic.

Structure (POSCAR):
```
Pm2NdHo6
1.0
-3.303 -0.633 0.933
-2.584 -6.352 -6.978
0.635 -9.490 2.293
Pm Nd Ho
2 1 6
direct
0.845 0.657 0.657 Pm
0.155 0.343 0.343 Pm
0.000 0.000 0.000 Nd
0.821 0.345 0.011 Ho
0.179 0.989 0.655 Ho
0.179 0.655 0.989 Ho
0.500 0.315 0.685 Ho
0.821 0.011 0.345 Ho
0.500 0.685 0.315 Ho
```

3.
The following is a DFT calculation (PBE-GGA) of a geometry-optimized Tb7Hg4Pb structure.

## Properties
The value obtained for the total DFT energy (no corrections) is -3.37 eV/atom. As for the symmetry: No. 12. The formation energy comes out at -0.26 eV per atom. The crystal system is monoclinic.

Structure (POSCAR):
```
Tb7Hg4Pb
1.0
-3.835 0.952 4.230
2.861 -4.230 7.506
3.192 4.612 5.817
Tb Hg Pb
7 4 1
direct
0.830 0.880 0.461 Tb
0.170 0.120 0.539 Tb
0.074 0.600 0.253 Tb
0.926 0.400 0.747 Tb
0.283 0.668 0.765 Tb
0.500 0.000 0.000 Tb
0.717 0.332 0.235 Tb
0.527 0.313 0.633 Hg
0.473 0.687 0.367 Hg
0.701 0.685 0.913 Hg
0.299 0.315 0.087 Hg
0.000 0.000 0.000 Pb
```

For each record above, in turn, the calculated total magnetic moment values are 0.000; 0.000; 0.000 μB per cell.